# 1
The following is a PBE calculation of Zr4MnN2 after structural relaxation, from Alexandria.

Geometry as POSCAR:
```
Zr4MnN2
1.0
3.304 0.000 0.000
-1.652 5.546 0.000
0.000 0.000 11.695
N Zr Mn
4 8 2
Cartesian
0.000 1.474 0.684 N
0.000 1.474 5.163 N
1.652 4.072 11.011 N
1.652 4.072 6.532 N
0.000 0.738 2.924 Zr
1.652 2.999 1.303 Zr
0.000 2.547 7.151 Zr
1.652 0.000 5.847 Zr
1.652 4.808 8.771 Zr
0.000 2.547 10.392 Zr
1.652 0.000 0.000 Zr
1.652 2.999 4.544 Zr
1.652 1.208 8.771 Mn
0.000 4.338 2.924 Mn
```

Electronic total energy   -134.1 eV for the cell shown
Space-group type   No. 63
Raw formation energy   -1007 meV per atom

=====

# 2
The following is a PBE calculation of Zr3MnN after structural relaxation, from Alexandria.

Geometry as POSCAR:
```
Zr3MnN
1.0
-2.970 -3.094 1.266
3.341 -2.806 0.979
0.117 1.596 4.176
Mn Zr N
1 3 1
Cartesian
0.244 -2.152 3.210 Mn
0.058 0.798 2.088 Zr
1.671 -1.403 0.490 Zr
-1.485 -1.547 0.633 Zr
0.000 0.000 0.000 N
```

Electronic total energy   -46.3 eV for the cell shown
Space-group type   No. 221
Raw formation energy   -628 meV per atom